No. 1
# La2SnHg4

La2SnHg4 after structural relaxation (GGA-PBE, the Alexandria database).

The structure in POSCAR format:
```
La2SnHg4
1.0
5.128 0.000 1.602
2.314 4.577 1.602
0.195 0.120 8.384
Hg La Sn
4 2 1
direct
0.433 0.433 0.702
0.134 0.134 0.599
0.866 0.866 0.401
0.567 0.567 0.298
0.727 0.727 0.820
0.273 0.273 0.180
0.000 0.000 0.000
```

SG   R-3m
D(E_F)   2.969 states/eV/cell
Formation enthalpy at 0 K   -0.46 eV per atom
DFT total energy   -18.299 eV per cell



No. 2
# TbGa2Ru

TbGa2Ru after structural relaxation (GGA-PBE, the Alexandria database).

The structure in POSCAR format:
```
TbGa2Ru
1.0
4.235 0.000 0.000
2.118 3.668 0.000
2.118 1.223 4.949
Ga Ru Tb
2 1 1
direct
0.716 0.716 0.852
0.284 0.284 0.148
0.000 0.000 0.000
0.500 0.500 0.500
```

SG   R-3m
D(E_F)   1.942 states/eV/cell
Formation enthalpy at 0 K   -0.50 eV per atom
DFT total energy   -21.979 eV per cell



- Look up the DFT total energy of the second one.
  -21.979 eV per cell



What did the second record say?
# TbGa2Ru

TbGa2Ru after structural relaxation (GGA-PBE, the Alexandria database).

The structure in POSCAR format:
```
TbGa2Ru
1.0
4.235 0.000 0.000
2.118 3.668 0.000
2.118 1.223 4.949
Ga Ru Tb
2 1 1
direct
0.716 0.716 0.852
0.284 0.284 0.148
0.000 0.000 0.000
0.500 0.500 0.500
```

SG   R-3m
D(E_F)   1.942 states/eV/cell
Formation enthalpy at 0 K   -0.50 eV per atom
DFT total energy   -21.979 eV per cell



- Look up the DFT total energy of the second one.
  -21.979 eV per cell